Density functional theory data (PBE) for a relaxed SmTm2MgHg4 crystal.

- E_tot (eV/f.u.) = -19.98
- total magnetization (μB/f.u.) = 0.0

Cell lengths 9.1553, 9.1553, 9.1553 Å; angles 32.44, 32.44, 32.44 degrees
Closest atoms and distances in Å follow each position.
Element x y z (fractional)
Sm1 0.0000 0.0000 0.0000  8 Hg 3.18-3.28
Tm1 0.2444 0.2444 0.2444  7 Hg 3.08-3.16
Tm2 0.7556 0.7556 0.7556  7 Hg 3.08-3.16
Mg1 0.5000 0.5000 0.5000  8 Hg 3.14-3.15
Hg1 0.1260 0.1260 0.1260  4 Tm 3.08-3.11, 3 Mg 3.14, 1 Sm 3.28
Hg2 0.3789 0.3789 0.3789  1 Mg 3.15, 4 Tm 3.16-3.50, 3 Sm 3.18
Hg3 0.6211 0.6211 0.6211  1 Mg 3.15, 4 Tm 3.16-3.50, 3 Sm 3.18
Hg4 0.8740 0.8740 0.8740  4 Tm 3.08-3.11, 3 Mg 3.14, 1 Sm 3.28